## CeZnIr2 (GGA-PBE)

Data for crystalline CeZnIr2 at its relaxed geometry.

Unit cell a=3.1868 b=3.1868 c=6.8293 alpha=90.00 beta=90.00 gamma=90.00
Space group P4/mmm (No. 123)
Unique sites:
Ce 0.0000 0.0000 0.0000
Zn 0.0000 0.0000 0.5000
Ir 0.5000 0.5000 0.2874

Calculated values
Density of states at the Fermi level: 2.68 states/eV/cell
DFT total energy: -6.603 eV/atom



## Ce3ZnIr2 (GGA-PBE)

Data for crystalline Ce3ZnIr2 at its relaxed geometry.

Unit cell a=15.1661 b=6.5353 c=4.9957 alpha=90.00 beta=90.11 gamma=90.00
Space group C2/c (No. 15)
Unique sites:
Ce 0.0000 0.1297 0.2500
Ce 0.1747 0.3509 0.2499
Zn 0.0000 0.3869 0.7500
Ir 0.1459 0.1248 0.7504

Calculated values
Density of states at the Fermi level: 36.81 states/eV/cell
DFT total energy: -6.678 eV/atom
Energy above the most stable polymorph in this dataset: 11 meV/atom



## CeZnIr2 (GGA-PBE)

Data for crystalline CeZnIr2 at its relaxed geometry.

Unit cell a=4.2751 b=4.2751 c=3.7936 alpha=90.00 beta=90.00 gamma=90.00
Space group P4/mmm (No. 123)
Unique sites:
Ce 0.0000 0.0000 0.0000
Zn 0.5000 0.5000 0.0000
Ir 0.0000 0.5000 0.5000

Calculated values
Density of states at the Fermi level: 1.19 states/eV/cell
DFT total energy: -6.758 eV/atom



## Ce6ZnIr3 (GGA-PBE)

Data for crystalline Ce6ZnIr3 at its relaxed geometry.

Unit cell a=10.9147 b=14.0537 c=6.8452 alpha=90.00 beta=90.00 gamma=90.00
Space group Cmc2_1 (No. 36)
Unique sites:
Ce 0.0000 0.0042 0.0000
Ce 0.0000 0.2330 0.7331
Ce 0.1654 0.4412 0.5560
Ce 0.1941 0.2942 0.0014
Zn 0.0000 0.1996 0.2713
Ir 0.0000 0.4284 0.8691
Ir 0.1788 0.0879 0.7537

Calculated values
Density of states at the Fermi level: 100.63 states/eV/cell
DFT total energy: -6.737 eV/atom



## Ce4ZnIr (GGA-PBE)

Data for crystalline Ce4ZnIr at its relaxed geometry.

Unit cell a=13.5356 b=13.5356 c=13.5356 alpha=90.00 beta=90.00 gamma=90.00
Space group F-43m (No. 216)
Unique sites:
Ce 0.0000 0.0000 0.1844
Ce 0.0489 0.2500 0.7500
Ce 0.1031 0.1031 0.3969
Zn 0.1741 0.1741 0.1741
Ir 0.1095 0.1095 0.6095

Calculated values
Density of states at the Fermi level: 311.33 states/eV/cell
DFT total energy: -5.952 eV/atom
Energy above the most stable polymorph in this dataset: 25 meV/atom



## Ce3ZrIr2 (GGA-PBE)

Data for crystalline Ce3ZrIr2 at its relaxed geometry.

Unit cell a=15.6782 b=4.4220 c=8.8035 alpha=90.00 beta=118.70 gamma=90.00
Space group C2/m (No. 12)
Unique sites:
Ce 0.0546 0.0000 0.3976
Ce 0.1339 0.5000 0.7150
Ce 0.2095 0.5000 0.3749
Zr 0.1126 0.0000 0.0346
Ir 0.0036 0.5000 0.1633
Ir 0.2409 0.5000 0.0960

Calculated values
Density of states at the Fermi level: 34.87 states/eV/cell
DFT total energy: -7.830 eV/atom



## CeZr2Ir9 (GGA-PBE)

Data for crystalline CeZr2Ir9 at its relaxed geometry.

Unit cell a=5.2633 b=5.2633 c=26.0486 alpha=90.00 beta=90.00 gamma=120.00
Space group R-3m (No. 166, hexagonal axes)
Unique sites:
Ce 0.0000 0.0000 0.0000
Zr 0.0000 0.0000 0.1395
Ir 0.0000 0.0000 0.3341
Ir 0.0000 0.0000 0.5000
Ir 0.0029 0.5014 0.9154

Calculated values
Density of states at the Fermi level: 38.75 states/eV/cell
DFT total energy: -9.131 eV/atom



## CeZr2Ir (GGA-PBE)

Data for crystalline CeZr2Ir at its relaxed geometry.

Unit cell a=4.4001 b=4.4001 c=17.8905 alpha=90.00 beta=90.00 gamma=120.00
Space group R3m (No. 160, hexagonal axes)
Unique sites:
Ce 0.0000 0.0000 0.0000
Zr 0.0000 0.0000 0.5631
Zr 0.0000 0.0000 0.7865
Ir 0.0000 0.0000 0.1822

Calculated values
Density of states at the Fermi level: 26.76 states/eV/cell
DFT total energy: -8.165 eV/atom
Energy above the most stable polymorph in this dataset: 215 meV/atom